No. 1
A plane-wave DFT calculation with PBE-GGA was carried out for a relaxed Tb3Al2Co7 crystal.

Cell: 8.356 8.356 8.356 Å, 36.01 36.01 36.01°
Atoms (fractional coordinates):
Tb1 0.000 0.000 0.000
Tb2 0.140 0.140 0.140
Tb3 0.860 0.860 0.860
Al1 0.333 0.333 0.333
Al2 0.667 0.667 0.667
Co1 0.085 0.582 0.582
Co2 0.418 0.418 0.915
Co3 0.418 0.915 0.418
Co4 0.500 0.500 0.500
Co5 0.582 0.085 0.582
Co6 0.582 0.582 0.085
Co7 0.915 0.418 0.418

Density of states at the Fermi level, states/eV/cell: 14.74
Final energy, eV per atom: -6.236

No. 2
A plane-wave DFT calculation with PBE-GGA was carried out for a relaxed Tb2Al2Co15 crystal.

Cell: 6.310 6.310 6.310 Å, 82.67 82.67 82.67°
Atoms (fractional coordinates):
Tb1 0.148 0.148 0.148
Tb2 0.852 0.852 0.852
Al1 0.394 0.394 0.394
Al2 0.606 0.606 0.606
Co1 0.000 0.500 0.500
Co2 0.149 0.149 0.649
Co3 0.149 0.649 0.149
Co4 0.213 0.500 0.787
Co5 0.213 0.787 0.500
Co6 0.351 0.851 0.851
Co7 0.500 0.000 0.500
Co8 0.500 0.213 0.787
Co9 0.500 0.500 0.000
Co10 0.500 0.787 0.213
Co11 0.649 0.149 0.149
Co12 0.787 0.213 0.500
Co13 0.787 0.500 0.213
Co14 0.851 0.351 0.851
Co15 0.851 0.851 0.351

Density of states at the Fermi level, states/eV/cell: 22.73
Final energy, eV per atom: -6.660

No. 3
A plane-wave DFT calculation with PBE-GGA was carried out for a relaxed TbAl12Co4 crystal.

Cell: 7.748 7.748 7.748 Å, 109.47 109.47 109.47°
Atoms (fractional coordinates):
Tb1 0.000 0.000 0.000
Al1 0.000 0.259 0.741
Al2 0.000 0.741 0.259
Al3 0.259 0.000 0.741
Al4 0.259 0.259 0.517
Al5 0.259 0.517 0.259
Al6 0.259 0.741 0.000
Al7 0.483 0.741 0.741
Al8 0.517 0.259 0.259
Al9 0.741 0.000 0.259
Al10 0.741 0.259 0.000
Al11 0.741 0.483 0.741
Al12 0.741 0.741 0.483
Co1 0.000 0.000 0.500
Co2 0.000 0.500 0.000
Co3 0.500 0.000 0.000
Co4 0.500 0.500 0.500

Density of states at the Fermi level, states/eV/cell: 8.58
Final energy, eV per atom: -4.719

No. 4
A plane-wave DFT calculation with PBE-GGA was carried out for a relaxed Tb11Al9Co4 crystal.

Cell: 12.525 12.525 3.596 Å, 90.00 90.00 112.40°
Atoms (fractional coordinates):
Tb1 0.000 0.000 0.000
Tb2 0.074 0.415 0.000
Tb3 0.166 0.834 0.000
Tb4 0.312 0.312 0.000
Tb5 0.375 0.625 0.000
Tb6 0.415 0.074 0.000
Tb7 0.585 0.926 0.000
Tb8 0.625 0.375 0.000
Tb9 0.688 0.688 0.000
Tb10 0.834 0.166 0.000
Tb11 0.926 0.585 0.000
Al1 0.085 0.221 0.500
Al2 0.169 0.630 0.500
Al3 0.221 0.085 0.500
Al4 0.370 0.831 0.500
Al5 0.500 0.500 0.500
Al6 0.630 0.169 0.500
Al7 0.779 0.915 0.500
Al8 0.831 0.370 0.500
Al9 0.915 0.779 0.500
Co1 0.243 0.446 0.500
Co2 0.446 0.243 0.500
Co3 0.554 0.757 0.500
Co4 0.757 0.554 0.500

Density of states at the Fermi level, states/eV/cell: 14.64
Final energy, eV per atom: -5.108

No. 5
A plane-wave DFT calculation with PBE-GGA was carried out for a relaxed Tb2Al8Co crystal.

Cell: 4.226 4.226 11.161 Å, 90.00 90.00 90.00°
Atoms (fractional coordinates):
Tb1 0.000 0.000 0.193
Tb2 0.000 0.000 0.807
Al1 0.000 0.500 0.000
Al2 0.000 0.500 0.385
Al3 0.000 0.500 0.615
Al4 0.500 0.000 0.000
Al5 0.500 0.000 0.385
Al6 0.500 0.000 0.615
Al7 0.500 0.500 0.194
Al8 0.500 0.500 0.806
Co1 0.000 0.000 0.500

Density of states at the Fermi level, states/eV/cell: 4.06
Final energy, eV per atom: -4.658

No. 6
A plane-wave DFT calculation with PBE-GGA was carried out for a relaxed Tb3AlCo8 crystal.

Cell: 8.667 8.667 8.667 Å, 33.41 33.41 33.41°
Atoms (fractional coordinates):
Tb1 0.000 0.000 0.000
Tb2 0.127 0.127 0.127
Tb3 0.620 0.620 0.620
Al1 0.497 0.497 0.497
Co1 0.061 0.061 0.556
Co2 0.061 0.556 0.061
Co3 0.070 0.562 0.562
Co4 0.312 0.312 0.312
Co5 0.556 0.061 0.061
Co6 0.562 0.070 0.562
Co7 0.562 0.562 0.070
Co8 0.813 0.813 0.813

Density of states at the Fermi level, states/eV/cell: 16.76
Final energy, eV per atom: -6.399

No. 7
A plane-wave DFT calculation with PBE-GGA was carried out for a relaxed Tb2Al5Co3 crystal.

Cell: 12.386 12.386 6.681 Å, 90.00 90.00 161.04°
Atoms (fractional coordinates):
Tb1 0.027 0.973 0.500
Tb2 0.325 0.675 0.415
Tb3 0.675 0.325 0.915
Tb4 0.973 0.027 0.000
Al1 0.096 0.904 0.114
Al2 0.208 0.792 0.601
Al3 0.213 0.787 0.212
Al4 0.368 0.632 0.942
Al5 0.445 0.555 0.333
Al6 0.555 0.445 0.833
Al7 0.632 0.368 0.442
Al8 0.787 0.213 0.712
Al9 0.792 0.208 0.101
Al10 0.904 0.096 0.614
Co1 0.111 0.889 0.744
Co2 0.268 0.732 0.905
Co3 0.453 0.547 0.710
Co4 0.547 0.453 0.210
Co5 0.732 0.268 0.405
Co6 0.889 0.111 0.244

Density of states at the Fermi level, states/eV/cell: 14.15
Final energy, eV per atom: -5.365

No. 8
A plane-wave DFT calculation with PBE-GGA was carried out for a relaxed Tb4AlCo crystal.

Cell: 7.645 7.645 5.986 Å, 99.63 99.63 111.28°
Atoms (fractional coordinates):
Tb1 0.056 0.726 0.956
Tb2 0.210 0.372 0.604
Tb3 0.274 0.944 0.544
Tb4 0.372 0.210 0.104
Tb5 0.628 0.790 0.896
Tb6 0.726 0.056 0.456
Tb7 0.790 0.628 0.396
Tb8 0.944 0.274 0.044
Al1 0.377 0.623 0.250
Al2 0.623 0.377 0.750
Co1 0.001 0.999 0.750
Co2 0.999 0.001 0.250

Density of states at the Fermi level, states/eV/cell: 11.72
Final energy, eV per atom: -5.089

No. 9
A plane-wave DFT calculation with PBE-GGA was carried out for a relaxed Tb4Al12Co crystal.

Cell: 7.451 7.451 7.451 Å, 109.47 109.47 109.47°
Atoms (fractional coordinates):
Tb1 0.000 0.000 0.500
Tb2 0.000 0.500 0.000
Tb3 0.500 0.000 0.000
Tb4 0.500 0.500 0.500
Al1 0.000 0.278 0.278
Al2 0.000 0.722 0.722
Al3 0.250 0.500 0.750
Al4 0.250 0.750 0.500
Al5 0.278 0.000 0.278
Al6 0.278 0.278 0.000
Al7 0.500 0.250 0.750
Al8 0.500 0.750 0.250
Al9 0.722 0.000 0.722
Al10 0.722 0.722 0.000
Al11 0.750 0.250 0.500
Al12 0.750 0.500 0.250
Co1 0.000 0.000 0.000

Density of states at the Fermi level, states/eV/cell: 9.19
Final energy, eV per atom: -4.630

No. 10
A plane-wave DFT calculation with PBE-GGA was carried out for a relaxed Tb7Al2Co2 crystal.

Cell: 6.688 6.688 6.866 Å, 90.00 90.00 109.35°
Atoms (fractional coordinates):
Tb1 0.000 0.000 0.000
Tb2 0.000 0.500 0.251
Tb3 0.000 0.500 0.749
Tb4 0.500 0.000 0.251
Tb5 0.500 0.000 0.749
Tb6 0.500 0.500 0.244
Tb7 0.500 0.500 0.756
Al1 0.167 0.167 0.500
Al2 0.833 0.833 0.500
Co1 0.295 0.705 0.000
Co2 0.705 0.295 0.000

Density of states at the Fermi level, states/eV/cell: 10.95
Final energy, eV per atom: -5.045

No. 11
A plane-wave DFT calculation with PBE-GGA was carried out for a relaxed TbAl2Co9 crystal.

Cell: 8.054 8.054 4.696 Å, 90.00 90.00 90.00°
Atoms (fractional coordinates):
Tb1 0.000 0.000 0.000
Tb2 0.500 0.500 0.000
Al1 0.121 0.379 0.000
Al2 0.379 0.879 0.000
Al3 0.621 0.121 0.000
Al4 0.879 0.621 0.000
Co1 0.000 0.500 0.500
Co2 0.068 0.211 0.500
Co3 0.176 0.676 0.235
Co4 0.176 0.676 0.765
Co5 0.211 0.932 0.500
Co6 0.289 0.432 0.500
Co7 0.324 0.176 0.235
Co8 0.324 0.176 0.765
Co9 0.432 0.711 0.500
Co10 0.500 0.000 0.500
Co11 0.568 0.289 0.500
Co12 0.676 0.824 0.235
Co13 0.676 0.824 0.765
Co14 0.711 0.568 0.500
Co15 0.789 0.068 0.500
Co16 0.824 0.324 0.235
Co17 0.824 0.324 0.765
Co18 0.932 0.789 0.500

Density of states at the Fermi level, states/eV/cell: 29.38
Final energy, eV per atom: -6.582

No. 12
A plane-wave DFT calculation with PBE-GGA was carried out for a relaxed Tb12AlCo6 crystal.

Cell: 8.371 8.371 8.371 Å, 109.47 109.47 109.47°
Atoms (fractional coordinates):
Tb1 0.109 0.807 0.302
Tb2 0.193 0.302 0.495
Tb3 0.193 0.698 0.891
Tb4 0.302 0.109 0.807
Tb5 0.302 0.495 0.193
Tb6 0.495 0.193 0.302
Tb7 0.505 0.807 0.698
Tb8 0.698 0.505 0.807
Tb9 0.698 0.891 0.193
Tb10 0.807 0.302 0.109
Tb11 0.807 0.698 0.505
Tb12 0.891 0.193 0.698
Al1 0.000 0.000 0.000
Co1 0.113 0.613 0.500
Co2 0.387 0.500 0.887
Co3 0.500 0.113 0.613
Co4 0.500 0.887 0.387
Co5 0.613 0.500 0.113
Co6 0.887 0.387 0.500

Density of states at the Fermi level, states/eV/cell: 13.61
Final energy, eV per atom: -5.574

No. 13
A plane-wave DFT calculation with PBE-GGA was carried out for a relaxed Tb3Al7Co2 crystal.

Cell: 11.501 11.501 4.497 Å, 90.00 90.00 157.56°
Atoms (fractional coordinates):
Tb1 0.000 0.000 0.000
Tb2 0.186 0.814 0.000
Tb3 0.814 0.186 0.000
Al1 0.093 0.907 0.500
Al2 0.286 0.714 0.500
Al3 0.407 0.593 0.000
Al4 0.500 0.500 0.500
Al5 0.593 0.407 0.000
Al6 0.714 0.286 0.500
Al7 0.907 0.093 0.500
Co1 0.393 0.607 0.500
Co2 0.607 0.393 0.500

Density of states at the Fermi level, states/eV/cell: 7.17
Final energy, eV per atom: -4.947

No. 14
A plane-wave DFT calculation with PBE-GGA was carried out for a relaxed Tb2Al3Co crystal.

Cell: 5.380 5.380 5.380 Å, 61.25 61.25 61.25°
Atoms (fractional coordinates):
Tb1 0.126 0.126 0.126
Tb2 0.874 0.874 0.874
Al1 0.000 0.500 0.500
Al2 0.500 0.000 0.500
Al3 0.500 0.500 0.000
Co1 0.500 0.500 0.500

Density of states at the Fermi level, states/eV/cell: 4.05
Final energy, eV per atom: -5.045

No. 15
A plane-wave DFT calculation with PBE-GGA was carried out for a relaxed Tb4Al16Co3 crystal.

Cell: 6.029 6.029 11.199 Å, 90.00 90.00 90.00°
Atoms (fractional coordinates):
Tb1 0.000 0.500 0.193
Tb2 0.000 0.500 0.807
Tb3 0.500 0.000 0.193
Tb4 0.500 0.000 0.807
Al1 0.000 0.000 0.193
Al2 0.000 0.000 0.807
Al3 0.224 0.224 0.000
Al4 0.224 0.776 0.000
Al5 0.251 0.251 0.385
Al6 0.251 0.251 0.615
Al7 0.251 0.749 0.385
Al8 0.251 0.749 0.615
Al9 0.500 0.500 0.214
Al10 0.500 0.500 0.786
Al11 0.749 0.251 0.385
Al12 0.749 0.251 0.615
Al13 0.749 0.749 0.385
Al14 0.749 0.749 0.615
Al15 0.776 0.224 0.000
Al16 0.776 0.776 0.000
Co1 0.000 0.500 0.500
Co2 0.500 0.000 0.500
Co3 0.500 0.500 0.000

Density of states at the Fermi level, states/eV/cell: 2.88
Final energy, eV per atom: -4.824

No. 16
A plane-wave DFT calculation with PBE-GGA was carried out for a relaxed Tb2TiAl2Co5 crystal.

Cell: 9.692 9.692 3.216 Å, 90.00 90.00 90.00°
Atoms (fractional coordinates):
Tb1 0.173 0.327 0.000
Tb2 0.327 0.827 0.000
Tb3 0.673 0.173 0.000
Tb4 0.827 0.673 0.000
Ti1 0.000 0.000 0.000
Ti2 0.500 0.500 0.000
Al1 0.125 0.625 0.000
Al2 0.375 0.125 0.000
Al3 0.625 0.875 0.000
Al4 0.875 0.375 0.000
Co1 0.000 0.500 0.500
Co2 0.062 0.800 0.500
Co3 0.200 0.062 0.500
Co4 0.300 0.562 0.500
Co5 0.438 0.300 0.500
Co6 0.500 0.000 0.500
Co7 0.562 0.700 0.500
Co8 0.700 0.438 0.500
Co9 0.800 0.938 0.500
Co10 0.938 0.200 0.500

Density of states at the Fermi level, states/eV/cell: 10.98
Final energy, eV per atom: -6.267

No. 17
A plane-wave DFT calculation with PBE-GGA was carried out for a relaxed TbYAlCo crystal.

Cell: 4.979 4.979 4.979 Å, 60.00 60.00 60.00°
Atoms (fractional coordinates):
Tb1 0.000 0.000 0.000
Y1 0.500 0.500 0.500
Al1 0.750 0.750 0.750
Co1 0.250 0.250 0.250

Density of states at the Fermi level, states/eV/cell: 2.90
Final energy, eV per atom: -5.685

No. 18
A plane-wave DFT calculation with PBE-GGA was carried out for a relaxed TbAlZnCo crystal.

Cell: 4.579 4.579 4.579 Å, 60.00 60.00 60.00°
Atoms (fractional coordinates):
Tb1 0.000 0.000 0.000
Al1 0.500 0.500 0.500
Zn1 0.250 0.250 0.250
Co1 0.750 0.750 0.750

Density of states at the Fermi level, states/eV/cell: 2.56
Final energy, eV per atom: -4.413

No. 19
A plane-wave DFT calculation with PBE-GGA was carried out for a relaxed AlCo2Tc crystal.

Cell: 4.415 4.415 4.551 Å, 98.99 98.99 34.79°
Atoms (fractional coordinates):
Al1 0.000 0.000 0.000
Co1 0.251 0.251 0.744
Co2 0.749 0.749 0.256
Tc1 0.500 0.500 0.500

Density of states at the Fermi level, states/eV/cell: 5.00
Final energy, eV per atom: -7.156